No. 1
DFT (PBE) results for a relaxed structure of Th2RuPt.

Summary:
VASP energy: -8.38 eV per atom
total magnetization: 0.0 μB per formula unit

Cell lengths 5.8492, 5.8492, 11.6556 Å; angles 90.00, 90.00, 90.00 degrees
Last column: nearest neighbours and their distance in Å.
Space group I4_1/amd (No. 141, origin choice 2)
Asymmetric unit:
Th1 0.0000 0.2500 0.1174 x8  3 Ru 2.83-2.93, 3 Pt 2.93-3.00
Ru1 0.0000 0.2500 0.8750 x4  6 Th 2.83-2.93
Pt1 0.0000 0.2500 0.3750 x4  6 Th 2.93-3.00

---

No. 2
DFT (PBE) results for a relaxed structure of Th2RuPt.

Summary:
VASP energy: -8.21 eV per atom
total magnetization: 0.0 μB per formula unit

Cell lengths 3.5711, 3.5711, 7.2500 Å; angles 90.00, 90.00, 90.00 degrees
Last column: nearest neighbours and their distance in Å.
Space group P4/mmm (No. 123)
Asymmetric unit:
Th1 0.0000 0.0000 0.2399 x2  4 Ru 3.07, 4 Pt 3.15
Ru1 0.5000 0.5000 0.0000 x1  8 Th 3.07
Pt1 0.5000 0.5000 0.5000 x1  8 Th 3.15